Compound: KRb2HCl6
Source: Alexandria
Functional: GGA-PBE
Structure: optimized geometry

ρ   2.27 g/cm3
Total energy   -2.767 eV per atom
Size of the total moment   2.0 μB per formula unit

Lattice parameters (Å, degrees): 7.4038 7.4038 7.4038 112.16 112.16 104.22
Fractional positions:
K (0.0000, 0.0000, 0.0000)
Rb (0.2500, 0.7500, 0.5000)
Rb (0.7500, 0.2500, 0.5000)
H (0.5000, 0.5000, 0.0000)
Cl (0.2526, 0.2526, 0.5051)
Cl (0.2526, 0.7474, 0.0000)
Cl (0.3311, 0.3311, 0.0000)
Cl (0.6689, 0.6689, 0.0000)
Cl (0.7474, 0.2526, 0.0000)
Cl (0.7474, 0.7474, 0.4949)